# Hg2HI | Alexandria | PBE | relaxed
# Final energy ... -0.774 eV per atom
# Distance to the lowest polymorph of the same formula ... 156 kJ/mol of formula units
# ρ ... 7.67 g cm⁻³
data_Hg2HI
_space_group_name_H-M_alt 'F m -3 m'
_space_group_IT_number 225
_space_group_name_Hall '-F 4 2 3'
_cell_length_a 7.710
_cell_length_b 7.710
_cell_length_c 7.710
_cell_angle_alpha 90.00
_cell_angle_beta 90.00
_cell_angle_gamma 90.00
loop_
_atom_site_label
_atom_site_fract_x
_atom_site_fract_y
_atom_site_fract_z
Hg1 0.250 0.250 0.250
H1 0.000 0.000 0.000
I1 0.000 0.000 0.500